#a
First-principles (PBE) data for a geometry-optimized HfSiSCl2 structure, as listed in the Alexandria database.

Results
SG = P4/mmm, No. 123
magnetization = 0.301 μB/atom

```
HfSiSCl2
1.0
4.9625 0.0000 0.0000
0.0000 4.9625 0.0000
0.0000 0.0000 4.9876
Hf Si S Cl
1 1 1 2
direct
0.0000 0.0000 0.0000
0.5000 0.5000 0.5000
0.0000 0.0000 0.5000
0.0000 0.5000 0.0000
0.5000 0.0000 0.0000
```

#b
First-principles (PBE) data for a geometry-optimized HfSiSCl2 structure, as listed in the Alexandria database.

Results
SG = P4/mmm, No. 123
magnetization = 0.407 μB/atom

```
HfSiSCl2
1.0
4.6572 0.0000 0.0000
0.0000 4.6572 0.0000
0.0000 0.0000 4.9096
Hf Si S Cl
1 1 1 2
direct
0.0000 0.0000 0.0000
0.5000 0.5000 0.5000
0.5000 0.5000 0.0000
0.0000 0.5000 0.5000
0.5000 0.0000 0.5000
```

Most stable of them? #a.

#a
First-principles (PBE) data for a geometry-optimized HfSnS2Cl structure, as listed in the Alexandria database.

Results
SG = P4/mmm, No. 123
magnetization = 0.319 μB/atom

```
HfSnS2Cl
1.0
5.0452 0.0000 0.0000
0.0000 5.0452 0.0000
0.0000 0.0000 4.9573
Hf Sn S Cl
1 1 2 1
direct
0.0000 0.0000 0.0000
0.5000 0.5000 0.5000
0.0000 0.5000 0.5000
0.5000 0.0000 0.5000
0.5000 0.5000 0.0000
```

#b
First-principles (PBE) data for a geometry-optimized HfSnS2Cl structure, as listed in the Alexandria database.

Results
SG = P4/mmm, No. 123
magnetization = 0.000 μB/atom

```
HfSnS2Cl
1.0
4.9746 0.0000 0.0000
0.0000 4.9746 0.0000
0.0000 0.0000 4.9314
Hf Sn S Cl
1 1 2 1
direct
0.0000 0.0000 0.0000
0.5000 0.5000 0.5000
0.0000 0.5000 0.0000
0.5000 0.0000 0.0000
0.0000 0.0000 0.5000
```

Most stable of them? #b.

#a
First-principles (PBE) data for a geometry-optimized SrHfS2Cl structure, as listed in the Alexandria database.

Results
SG = P4/mmm, No. 123
magnetization = 0.193 μB/atom

```
SrHfS2Cl
1.0
5.4582 0.0000 0.0000
0.0000 5.4582 0.0000
0.0000 0.0000 5.1210
Sr Hf S Cl
1 1 2 1
direct
0.0000 0.0000 0.0000
0.5000 0.5000 0.5000
0.0000 0.5000 0.0000
0.5000 0.0000 0.0000
0.0000 0.0000 0.5000
```

#b
First-principles (PBE) data for a geometry-optimized SrHfS2Cl structure, as listed in the Alexandria database.

Results
SG = P4/mmm, No. 123
magnetization = 0.000 μB/atom

```
SrHfS2Cl
1.0
4.9963 0.0000 0.0000
0.0000 4.9963 0.0000
0.0000 0.0000 4.8983
Sr Hf S Cl
1 1 2 1
direct
0.0000 0.0000 0.0000
0.5000 0.5000 0.5000
0.0000 0.5000 0.5000
0.5000 0.0000 0.5000
0.5000 0.5000 0.0000
```

Most stable of them? #b.

#a
First-principles (PBE) data for a geometry-optimized HfTaSCl2 structure, as listed in the Alexandria database.

Results
SG = P4/mmm, No. 123
magnetization = 0.778 μB/atom

```
HfTaSCl2
1.0
4.8776 0.0000 0.0000
0.0000 4.8776 0.0000
0.0000 0.0000 5.0363
Hf Ta S Cl
1 1 1 2
direct
0.0000 0.0000 0.0000
0.5000 0.5000 0.5000
0.0000 0.0000 0.5000
0.0000 0.5000 0.0000
0.5000 0.0000 0.0000
```

#b
First-principles (PBE) data for a geometry-optimized HfTaSCl2 structure, as listed in the Alexandria database.

Results
SG = P4/mmm, No. 123
magnetization = 0.448 μB/atom

```
HfTaSCl2
1.0
4.8047 0.0000 0.0000
0.0000 4.8047 0.0000
0.0000 0.0000 4.8243
Hf Ta S Cl
1 1 1 2
direct
0.0000 0.0000 0.0000
0.5000 0.5000 0.5000
0.5000 0.5000 0.0000
0.0000 0.5000 0.5000
0.5000 0.0000 0.5000
```

Most stable of them? #a.

#a
First-principles (PBE) data for a geometry-optimized HfTcSCl2 structure, as listed in the Alexandria database.

Results
SG = P4/mmm, No. 123
magnetization = 0.000 μB/atom

```
HfTcSCl2
1.0
4.6944 0.0000 0.0000
0.0000 4.6944 0.0000
0.0000 0.0000 4.6313
Hf Tc S Cl
1 1 1 2
direct
0.0000 0.0000 0.0000
0.5000 0.5000 0.5000
0.5000 0.5000 0.0000
0.0000 0.5000 0.5000
0.5000 0.0000 0.5000
```

#b
First-principles (PBE) data for a geometry-optimized HfTcSCl2 structure, as listed in the Alexandria database.

Results
SG = P4/mmm, No. 123
magnetization = 0.958 μB/atom

```
HfTcSCl2
1.0
4.9560 0.0000 0.0000
0.0000 4.9560 0.0000
0.0000 0.0000 4.9616
Hf Tc S Cl
1 1 1 2
direct
0.0000 0.0000 0.0000
0.5000 0.5000 0.5000
0.0000 0.0000 0.5000
0.0000 0.5000 0.0000
0.5000 0.0000 0.0000
```

Most stable of them? #b.

#a
First-principles (PBE) data for a geometry-optimized HfTlSCl2 structure, as listed in the Alexandria database.

Results
SG = P4/mmm, No. 123
magnetization = 0.000 μB/atom

```
HfTlSCl2
1.0
5.0556 0.0000 0.0000
0.0000 5.0556 0.0000
0.0000 0.0000 4.9799
Hf Tl S Cl
1 1 1 2
direct
0.0000 0.0000 0.0000
0.5000 0.5000 0.5000
0.0000 0.0000 0.5000
0.0000 0.5000 0.0000
0.5000 0.0000 0.0000
```

#b
First-principles (PBE) data for a geometry-optimized HfTlSCl2 structure, as listed in the Alexandria database.

Results
SG = P4/mmm, No. 123
magnetization = 0.410 μB/atom

```
HfTlSCl2
1.0
5.2961 0.0000 0.0000
0.0000 5.2961 0.0000
0.0000 0.0000 5.1870
Hf Tl S Cl
1 1 1 2
direct
0.0000 0.0000 0.0000
0.5000 0.5000 0.5000
0.5000 0.5000 0.0000
0.0000 0.5000 0.5000
0.5000 0.0000 0.5000
```

Most stable of them? #a.

#a
First-principles (PBE) data for a geometry-optimized HfVS2Cl structure, as listed in the Alexandria database.

Results
SG = P4/mmm, No. 123
magnetization = 0.761 μB/atom

```
HfVS2Cl
1.0
4.9477 0.0000 0.0000
0.0000 4.9477 0.0000
0.0000 0.0000 4.8622
Hf V S Cl
1 1 2 1
direct
0.0000 0.0000 0.0000
0.5000 0.5000 0.5000
0.0000 0.5000 0.0000
0.5000 0.0000 0.0000
0.0000 0.0000 0.5000
```

#b
First-principles (PBE) data for a geometry-optimized HfVS2Cl structure, as listed in the Alexandria database.

Results
SG = P4/mmm, No. 123
magnetization = 0.746 μB/atom

```
HfVS2Cl
1.0
4.6831 0.0000 0.0000
0.0000 4.6831 0.0000
0.0000 0.0000 4.5018
Hf V S Cl
1 1 2 1
direct
0.0000 0.0000 0.0000
0.5000 0.5000 0.5000
0.0000 0.5000 0.5000
0.5000 0.0000 0.5000
0.5000 0.5000 0.0000
```

Most stable of them? #a.

#a
First-principles (PBE) data for a geometry-optimized HfWS2Cl structure, as listed in the Alexandria database.

Results
SG = P4/mmm, No. 123
magnetization = 0.968 μB/atom

```
HfWS2Cl
1.0
4.9626 0.0000 0.0000
0.0000 4.9626 0.0000
0.0000 0.0000 4.8364
Hf W S Cl
1 1 2 1
direct
0.0000 0.0000 0.0000
0.5000 0.5000 0.5000
0.0000 0.5000 0.0000
0.5000 0.0000 0.0000
0.0000 0.0000 0.5000
```

#b
First-principles (PBE) data for a geometry-optimized HfWS2Cl structure, as listed in the Alexandria database.

Results
SG = P4/mmm, No. 123
magnetization = 0.336 μB/atom

```
HfWS2Cl
1.0
4.6736 0.0000 0.0000
0.0000 4.6736 0.0000
0.0000 0.0000 4.7216
Hf W S Cl
1 1 2 1
direct
0.0000 0.0000 0.0000
0.5000 0.5000 0.5000
0.0000 0.5000 0.5000
0.5000 0.0000 0.5000
0.5000 0.5000 0.0000
```

Most stable of them? #a.